# Y2Mn2S2O5

A relaxed Y2Mn2S2O5 crystal (GGA+U, Alexandria).

Lattice parameters (Å, degrees): 11.8707 11.8707 11.8707 161.57 161.57 26.17
Sites, in units of the cell vectors:
Y 0.1616 0.1616 0.0000
Y 0.8384 0.8384 0.0000
Mn 0.4212 0.4212 0.0000
Mn 0.5788 0.5788 0.0000
S 0.2925 0.2925 0.0000
S 0.7075 0.7075 0.0000
O 0.1017 0.6017 0.5000
O 0.3983 0.8983 0.5000
O 0.5000 0.5000 0.0000
O 0.6017 0.1017 0.5000
O 0.8983 0.3983 0.5000

Output
DOS at the Fermi energy ... 4.8 states/eV/cell
Density ... 4.292 g cm⁻³
Total energy ... -81.82 eV/f.u.